No. 1
A relaxed VSi2Hg crystal, computed with PBE-GGA.

Cell lengths 4.5329, 4.5329, 4.5329 Å; angles 60.00, 60.00, 60.00 degrees
Positions (direct):
Si  0.2500  0.2500  0.2500
Si  0.7500  0.7500  0.7500
Hg  0.5000  0.5000  0.5000
V  0.0000  0.0000  0.0000

Computed properties:
- Fermi-level density of states: 3.961 states/eV/f.u.
- Relative energy among the computed polymorphs: 44 meV/atom
- Energy relative to the elements, uncorrected: 670 meV per atom

No. 2
A relaxed Ac8La2Pm crystal, computed with PBE-GGA.

Cell lengths 6.3278, 9.2164, 9.2164 Å; angles 86.82, 79.47, 79.47 degrees
Positions (direct):
Ac  0.8049  0.1425  0.6549
Ac  0.1951  0.3451  0.8575
Ac  0.8881  0.2685  0.2685
Ac  0.1119  0.7315  0.7315
Ac  0.8049  0.6549  0.1425
Ac  0.1951  0.8575  0.3451
Ac  0.2941  0.4168  0.4168
Ac  0.7059  0.5832  0.5832
La  0.4875  0.1330  0.1330
La  0.5125  0.8670  0.8670
Pm  0.0000  0.0000  0.0000

Computed properties:
- Fermi-level density of states: 16.545 states/eV/f.u.
- VASP energy: -43.53 eV per cell

No. 3
A relaxed YVHgS2 crystal, computed with PBE-GGA.

Cell lengths 4.5724, 5.3739, 4.5724 Å; angles 90.00, 90.00, 90.00 degrees
Positions (direct):
Y  0.0000  0.5000  0.0000
S  0.0000  0.0000  0.5000
S  0.5000  0.0000  0.0000
Hg  0.5000  0.5000  0.5000
V  0.0000  0.0000  0.0000

Computed properties:
- Fermi-level density of states: 3.868 states/eV/f.u.
- Energy relative to the elements, uncorrected: -275 meV per atom

No. 4
A relaxed Ni2IrAu crystal, computed with PBE-GGA.

Cell lengths 6.7400, 6.7400, 5.4599 Å; angles 51.89, 51.89, 90.00 degrees
Last column: magnetic moment on the atom in μB.
Positions (direct):
Ni  0.6075  0.1250  0.2500  0.56
Ni  0.1425  0.6250  0.2500  0.55
Ni  0.3750  0.3925  0.7500  0.56
Ni  0.8750  0.8575  0.7500  0.55
Ir  0.5000  0.5000  0.0000  0.56
Ir  0.2500  0.7500  0.5000  0.57
Au  0.0000  0.0000  0.0000  0.06
Au  0.7500  0.2500  0.5000  0.06

Computed properties:
- Fermi-level density of states: 6.726 states/eV/f.u.
- Relative energy among the computed polymorphs: 514 meV/atom

No. 5
A relaxed Tb2SmTmSe4 crystal, computed with PBE-GGA.

Cell lengths 4.0394, 7.0649, 7.1943 Å; angles 71.23, 90.00, 90.00 degrees
Positions (direct):
Tb  0.0000  0.0000  0.0000
Tb  0.5000  0.0000  0.5000
Sm  0.5000  0.5000  0.0000
Tm  0.0000  0.5000  0.5000
Se  0.0000  0.7520  0.7423
Se  0.0000  0.2480  0.2577
Se  0.5000  0.7467  0.2579
Se  0.5000  0.2533  0.7421

Computed properties:
- Fermi-level density of states: 4.418 states/eV/f.u.
- Energy relative to the elements, uncorrected: -1751 meV per atom

No. 6
A relaxed PrNbRh crystal, computed with PBE-GGA.

Cell lengths 4.8796, 3.4463, 10.9898 Å; angles 90.00, 90.00, 135.07 degrees
Positions (direct):
Rh  0.6950  0.3900  0.0000
Rh  0.1942  0.3883  0.5000
Pr  0.6943  0.3885  0.3344
Pr  0.6943  0.3885  0.6656
Nb  0.1945  0.3889  0.8810
Nb  0.1945  0.3889  0.1190

Computed properties:
- Fermi-level density of states: 4.063 states/eV/f.u.
- VASP energy: -44.80 eV per cell

Which of these has the highest Fermi-level density of states?
Ac8La2Pm

What is the formula in the fourth record?
Ni2IrAu

The lowest Fermi-level density of states belongs to which entry?
YVHgS2